No. 1
VASP calculation (PBE-GGA) on crystalline Tb4ZnCd3 at its relaxed geometry.

Energy relative to the lowest polymorph listed for this composition (meV per atom): 64
ΔE_f (kcal/mol of atoms): -5.939
Total DFT energy (no corrections) (eV for the cell shown): -24.60

Cell: 3.5831 4.8393 12.0107 Å, 90.00 90.00 90.00°
Fractional coordinates of all 8 atoms:
Cd 0.0000 0.5000 0.5719
Zn 0.5000 0.5000 0.0733
Cd 0.0000 0.0000 0.4264
Tb 0.0000 0.5000 0.8477
Cd 0.5000 0.0000 0.9319
Tb 0.5000 0.0000 0.6616
Tb 0.0000 0.0000 0.1544
Tb 0.5000 0.5000 0.3328

No. 2
VASP calculation (PBE-GGA) on crystalline Sr2HfAs at its relaxed geometry.

ΔE_f (kcal/mol of atoms): 0.485
Total DFT energy (no corrections) (eV for the cell shown): -35.77

Cell: 11.1068 11.1068 8.2641 Å, 47.78 47.78 90.00°
Fractional coordinates of all 8 atoms:
Sr 0.4843 0.1250 0.2500
Sr 0.2657 0.6250 0.2500
Sr 0.3750 0.5157 0.7500
Hf 0.0000 0.0000 0.0000
Hf 0.7500 0.2500 0.5000
As 0.2500 0.7500 0.5000
As 0.5000 0.5000 0.0000
Sr 0.8750 0.7343 0.7500